(1)
# Mg2Cd3In8 | the Alexandria database | GGA-PBE | relaxed
# N(E_F) ... 3.176 states/eV/cell
# DFT formation energy ... 38 meV/atom
data_Mg2Cd3In8
_symmetry_space_group_name_H-M 'P 1 2/m 1'
_symmetry_Int_Tables_number 10
_symmetry_space_group_name_Hall '-P 2y'
_cell_length_a 9.4112
_cell_length_b 4.4227
_cell_length_c 9.4561
_cell_angle_alpha 90.00
_cell_angle_beta 117.18
_cell_angle_gamma 90.00
loop_
_atom_site_label
_atom_site_type_symbol
_atom_site_fract_x
_atom_site_fract_y
_atom_site_fract_z
Mg1 Mg 0.0291 0.0000 0.2965
Cd1 Cd 0.4795 0.5000 0.2206
Cd2 Cd 0.5000 0.0000 0.0000
In1 In 0.2022 0.0000 0.0976
In2 In 0.2136 0.5000 0.8585
In3 In 0.2604 0.0000 0.6375
In4 In 0.2965 0.5000 0.4076

(2)
# Mg3Cd6In2 | the Alexandria database | GGA-PBE | relaxed
# N(E_F) ... 3.892 states/eV/cell
# DFT formation energy ... -12 meV/atom
data_Mg3Cd6In2
_symmetry_space_group_name_H-M 'P -1'
_symmetry_Int_Tables_number 2
_symmetry_space_group_name_Hall '-P 1'
_cell_length_a 4.5984
_cell_length_b 4.5985
_cell_length_c 12.6652
_cell_angle_alpha 99.94
_cell_angle_beta 99.91
_cell_angle_gamma 90.77
loop_
_atom_site_label
_atom_site_type_symbol
_atom_site_fract_x
_atom_site_fract_y
_atom_site_fract_z
Mg1 Mg 0.0000 0.0000 0.0000
Mg2 Mg 0.1584 0.1594 0.3169
Cd1 Cd 0.0718 0.5706 0.1436
Cd2 Cd 0.2483 0.7512 0.5000
Cd3 Cd 0.4302 0.9265 0.8564
In1 In 0.3388 0.3374 0.6764

(3)
# MgCdIn2 | the Alexandria database | GGA-PBE | relaxed
# N(E_F) ... 2.617 states/eV/cell
# DFT formation energy ... -1 meV/atom
data_MgCdIn2
_symmetry_space_group_name_H-M 'C 1 m 1'
_symmetry_Int_Tables_number 8
_symmetry_space_group_name_Hall 'C -2y'
_cell_length_a 6.1845
_cell_length_b 3.3283
_cell_length_c 9.8994
_cell_angle_alpha 90.00
_cell_angle_beta 104.09
_cell_angle_gamma 90.00
loop_
_atom_site_label
_atom_site_type_symbol
_atom_site_fract_x
_atom_site_fract_y
_atom_site_fract_z
Mg1 Mg 0.0000 0.0000 0.0000
Cd1 Cd 0.1698 0.0000 0.5009
In1 In 0.0811 0.5000 0.7508
In2 In 0.4146 0.0000 0.2491

(4)
# Mg7Cd2In3 | the Alexandria database | GGA-PBE | relaxed
# N(E_F) ... 9.623 states/eV/cell
# DFT formation energy ... 20 meV/atom
# Energy above the lowest structure with this stoichiometry ... 21 kJ/mol of formula units
data_Mg7Cd2In3
_symmetry_space_group_name_H-M 'C m m m'
_symmetry_Int_Tables_number 65
_symmetry_space_group_name_Hall '-C 2 2'
_cell_length_a 5.0693
_cell_length_b 34.2532
_cell_length_c 3.3284
_cell_angle_alpha 90.00
_cell_angle_beta 90.00
_cell_angle_gamma 90.00
loop_
_atom_site_label
_atom_site_type_symbol
_atom_site_fract_x
_atom_site_fract_y
_atom_site_fract_z
Mg1 Mg 0.0000 0.0000 0.0000
Mg2 Mg 0.0000 0.0730 0.5000
Mg3 Mg 0.0000 0.2278 0.0000
Mg4 Mg 0.0000 0.4061 0.0000
Cd1 Cd 0.0000 0.1449 0.0000
In1 In 0.0000 0.3119 0.5000
In2 In 0.0000 0.5000 0.5000

no.,E_tot (eV/atom)
1,-2.10
2,-1.44
3,-2.00
4,-1.75